The following is a DFT calculation (PBE) of a relaxed KSnAs3 crystal.

formation enthalpy at 0 K: 1.351 eV/atom
M_tot: 0.00 μB/f.u.
volume: 31.4 Å³/atom
energy relative to the lowest polymorph listed for this composition: 0.936 eV/atom
theoretical density: 4.046 Mg/m³
DFT total energy: -2.46 eV/atom

Structure (CIF):
```
data_KSnAs3
_chemical_formula_sum 'K1 Sn1 As3'
_symmetry_space_group_name_H-M 'P m -3 m'
_symmetry_Int_Tables_number 221
_symmetry_space_group_name_Hall '-P 4 2 3'
_cell_length_a 5.3950
_cell_length_b 5.3950
_cell_length_c 5.3950
_cell_angle_alpha 90.00
_cell_angle_beta 90.00
_cell_angle_gamma 90.00
loop_
_atom_site_label
_atom_site_fract_x
_atom_site_fract_y
_atom_site_fract_z
_atom_site_occupancy
K1 0.0000 0.0000 0.0000 1
Sn1 0.5000 0.5000 0.5000 1
As1 0.0000 0.0000 0.5000 1
```